w) Material: KTiB
Method: DFT, GGA-PBE
State: relaxed

Results
* spin magnetization: 0.12 μB/atom
* space group: P-1

```
6
Lattice="3.4858 0.0000 0.0000 1.7416 3.9563 0.0000 0.1183 -0.0107 11.1927" Properties=species:S:1:pos:R:3 pbc="T T T"
K 0.9315 0.9182 2.0895
K 4.4141 3.0274 9.1032
Ti 0.9304 0.8811 6.3590
Ti 4.4152 3.0645 4.8337
B 2.6725 2.5794 6.1618
B 2.6731 1.3662 5.0309
```

***

x) Material: KTiB
Method: DFT, GGA-PBE
State: relaxed

Results
* spin magnetization: 0.39 μB/atom
* space group: P-6m2

```
3
Lattice="3.7494 0.0000 0.0000 -1.8747 3.2471 0.0000 0.0000 0.0000 5.8142" Properties=species:S:1:pos:R:3 pbc="T T T"
K 0.0000 0.0000 0.0000
Ti 1.8747 1.0824 2.9071
B 0.0000 2.1647 2.9071
```

***

y) Material: KTiB
Method: DFT, GGA-PBE
State: relaxed

Results
* spin magnetization: 0.00 μB/atom
* space group: P4/nmm

```
6
Lattice="4.2182 0.0000 0.0000 0.0000 4.2182 0.0000 0.0000 0.0000 9.4530" Properties=species:S:1:pos:R:3 pbc="T T T"
K 1.0546 1.0546 1.9038
K 3.1637 3.1637 7.5492
Ti 1.0546 1.0546 5.2754
Ti 3.1637 3.1637 4.1777
B 1.0546 3.1637 4.7265
B 3.1637 1.0546 4.7265
```

***

z) Material: KTiB
Method: DFT, GGA-PBE
State: relaxed

Results
* spin magnetization: 0.09 μB/atom
* space group: P1

```
6
Lattice="3.1069 0.0000 0.0000 1.5515 3.9840 0.0000 0.1843 0.8888 12.0320" Properties=species:S:1:pos:R:3 pbc="T T T"
K 0.0000 0.0000 0.0000
K 1.5614 2.8676 7.7808
Ti 1.5625 0.3611 4.6316
Ti 3.1163 2.0308 2.9786
B 1.5618 2.6143 4.8516
B 3.1155 2.0356 5.1698
```

***

The least stable of them is x).

***

w) Material: KTi3B
Method: DFT, GGA-PBE
State: relaxed

Results
* spin magnetization: 0.40 μB/atom
* space group: Pm-3m

```
5
Lattice="4.3647 0.0000 0.0000 0.0000 4.3647 0.0000 0.0000 0.0000 4.3647" Properties=species:S:1:pos:R:3 pbc="T T T"
K 0.0000 0.0000 0.0000
Ti 0.0000 0.0000 2.1824
Ti 0.0000 2.1824 0.0000
Ti 2.1824 0.0000 0.0000
B 2.1824 2.1824 2.1824
```

***

x) Material: KTi3B
Method: DFT, GGA-PBE
State: relaxed

Results
* spin magnetization: 0.41 μB/atom
* space group: Pm-3m

```
5
Lattice="4.5708 0.0000 0.0000 0.0000 4.5708 0.0000 0.0000 0.0000 4.5708" Properties=species:S:1:pos:R:3 pbc="T T T"
K 0.0000 0.0000 0.0000
Ti 0.0000 2.2854 2.2854
Ti 2.2854 0.0000 2.2854
Ti 2.2854 2.2854 0.0000
B 2.2854 2.2854 2.2854
```

***

The least stable of them is w).

***

w) Material: KTlB3
Method: DFT, GGA-PBE
State: relaxed

Results
* spin magnetization: 0.24 μB/atom
* space group: Pm-3m

```
5
Lattice="5.1468 0.0000 0.0000 0.0000 5.1468 0.0000 0.0000 0.0000 5.1468" Properties=species:S:1:pos:R:3 pbc="T T T"
K 0.0000 0.0000 0.0000
Tl 2.5734 2.5734 2.5734
B 0.0000 0.0000 2.5734
B 0.0000 2.5734 0.0000
B 2.5734 0.0000 0.0000
```

***

x) Material: KTlB3
Method: DFT, GGA-PBE
State: relaxed

Results
* spin magnetization: 0.00 μB/atom
* space group: Pm-3m

```
5
Lattice="4.8112 0.0000 0.0000 0.0000 4.8112 0.0000 0.0000 0.0000 4.8112" Properties=species:S:1:pos:R:3 pbc="T T T"
K 0.0000 0.0000 0.0000
Tl 2.4056 2.4056 2.4056
B 0.0000 2.4056 2.4056
B 2.4056 0.0000 2.4056
B 2.4056 2.4056 0.0000
```

***

The least stable of them is w).

***

w) Material: K2TlB2
Method: DFT, GGA-PBE
State: relaxed

Results
* spin magnetization: 0.20 μB/atom
* space group: I4/mmm

```
5
Lattice="-3.1359 3.1359 5.3712 3.1359 -3.1359 5.3712 3.1359 3.1359 -5.3712" Properties=species:S:1:pos:R:3 pbc="T T T"
K 3.1359 0.0000 2.6856
K 0.0000 3.1359 2.6856
Tl 0.0000 0.0000 0.0000
B 0.0000 0.0000 2.1143
B 0.0000 0.0000 8.6281
```

***

x) Material: K2TlB2
Method: DFT, GGA-PBE
State: relaxed

Results
* spin magnetization: 0.14 μB/atom
* space group: P4/mbm

```
10
Lattice="6.8134 0.0000 0.0000 0.0000 6.8134 0.0000 0.0000 0.0000 5.0998" Properties=species:S:1:pos:R:3 pbc="T T T"
K 1.2895 2.1172 0.0000
K 2.1172 5.5239 0.0000
K 4.6962 1.2895 0.0000
K 5.5239 4.6962 0.0000
Tl 0.0000 0.0000 2.5499
Tl 3.4067 3.4067 2.5499
B 0.5621 3.9688 2.5499
B 2.8445 0.5621 2.5499
B 3.9688 6.2512 2.5499
B 6.2512 2.8445 2.5499
```

***

The least stable of them is w).

***

w) Material: KTl2B
Method: DFT, GGA-PBE
State: relaxed

Results
* spin magnetization: 0.00 μB/atom
* space group: Fm-3m

```
4
Lattice="0.0000 3.7137 3.7137 3.7137 0.0000 3.7137 3.7137 3.7137 0.0000" Properties=species:S:1:pos:R:3 pbc="T T T"
K 0.0000 0.0000 0.0000
Tl 1.8569 1.8569 1.8569
Tl 5.5706 5.5706 5.5706
B 3.7137 3.7137 3.7137
```

***

x) Material: KTl2B
Method: DFT, GGA-PBE
State: relaxed

Results
* spin magnetization: 0.00 μB/atom
* space group: I4_1/amd

```
8
Lattice="-3.6895 3.6895 5.1883 3.6895 -3.6895 5.1883 3.6895 3.6895 -5.1883" Properties=species:S:1:pos:R:3 pbc="T T T"
K 3.6895 1.8447 1.2971
K 0.0000 1.8447 3.8912
Tl 0.0000 0.0000 0.0000
Tl 1.8447 1.8447 -2.5941
Tl 1.8447 -1.8447 2.5941
Tl 0.0000 3.6895 0.0000
B 3.6895 -1.8447 3.8912
B 0.0000 5.5342 1.2971
```

***

The least stable of them is w).

***

w) Material: K2TlB
Method: DFT, GGA-PBE
State: relaxed

Results
* spin magnetization: 0.00 μB/atom
* space group: I-42d

```
8
Lattice="-6.3217 6.3217 2.1263 6.3217 -6.3217 2.1263 6.3217 6.3217 -2.1263" Properties=species:S:1:pos:R:3 pbc="T T T"
K 0.5482 3.1608 0.5316
K -3.1608 5.7735 1.5947
K -0.5482 9.4825 0.5316
K 3.1608 6.8699 1.5947
Tl 6.3217 0.0000 1.0632
Tl 0.0000 0.0000 2.1263
B 0.0000 0.0000 0.0000
B 0.0000 6.3217 1.0632
```

***

x) Material: K2TlB
Method: DFT, GGA-PBE
State: relaxed

Results
* spin magnetization: 0.00 μB/atom
* space group: Fm-3m

```
4
Lattice="0.0000 3.9964 3.9964 3.9964 0.0000 3.9964 3.9964 3.9964 0.0000" Properties=species:S:1:pos:R:3 pbc="T T T"
K 1.9982 1.9982 1.9982
K 5.9946 5.9946 5.9946
Tl 0.0000 0.0000 0.0000
B 3.9964 3.9964 3.9964
```

***

The least stable of them is x).

***

w) Material: KVB3
Method: DFT, GGA-PBE
State: relaxed

Results
* spin magnetization: 0.51 μB/atom
* space group: Pm-3m

```
5
Lattice="4.3856 0.0000 0.0000 0.0000 4.3856 0.0000 0.0000 0.0000 4.3856" Properties=species:S:1:pos:R:3 pbc="T T T"
K 0.0000 0.0000 0.0000
V 2.1928 2.1928 2.1928
B 0.0000 0.0000 2.1928
B 0.0000 2.1928 0.0000
B 2.1928 0.0000 0.0000
```

***

x) Material: KVB3
Method: DFT, GGA-PBE
State: relaxed

Results
* spin magnetization: 0.00 μB/atom
* space group: Pm-3m

```
5
Lattice="4.2275 0.0000 0.0000 0.0000 4.2275 0.0000 0.0000 0.0000 4.2275" Properties=species:S:1:pos:R:3 pbc="T T T"
K 0.0000 0.0000 0.0000
V 2.1138 2.1138 2.1138
B 0.0000 2.1138 2.1138
B 2.1138 0.0000 2.1138
B 2.1138 2.1138 0.0000
```

***

The least stable of them is w).

***

w) Material: K2Y2B
Method: DFT, GGA-PBE
State: relaxed

Results
* spin magnetization: 0.00 μB/atom
* space group: I4/mmm

```
5
Lattice="-1.9267 1.9267 10.0412 1.9267 -1.9267 10.0412 1.9267 1.9267 -10.0412" Properties=species:S:1:pos:R:3 pbc="T T T"
K 1.9267 0.0000 5.0206
K 0.0000 1.9267 5.0206
Y 0.0000 0.0000 1.4129
Y 0.0000 0.0000 18.6696
B 0.0000 0.0000 10.0412
```

***

x) Material: K2Y2B
Method: DFT, GGA-PBE
State: relaxed

Results
* spin magnetization: 0.08 μB/atom
* space group: P4/mbm

```
10
Lattice="7.1118 0.0000 0.0000 0.0000 7.1118 0.0000 0.0000 0.0000 7.2502" Properties=species:S:1:pos:R:3 pbc="T T T"
K 1.3298 2.2261 0.0000
K 2.2261 5.7820 0.0000
K 4.8857 1.3298 0.0000
K 5.7820 4.8857 0.0000
Y 1.3748 4.9307 3.6251
Y 2.1811 1.3748 3.6251
Y 4.9307 5.7370 3.6251
Y 5.7370 2.1811 3.6251
B 0.0000 0.0000 3.6251
B 3.5559 3.5559 3.6251
```

***

The least stable of them is w).

***

w) Material: KYB3
Method: DFT, GGA-PBE
State: relaxed

Results
* spin magnetization: 0.00 μB/atom
* space group: Pm-3m

```
5
Lattice="4.5227 0.0000 0.0000 0.0000 4.5227 0.0000 0.0000 0.0000 4.5227" Properties=species:S:1:pos:R:3 pbc="T T T"
K 0.0000 0.0000 0.0000
Y 2.2613 2.2613 2.2613
B 0.0000 0.0000 2.2613
B 0.0000 2.2613 0.0000
B 2.2613 0.0000 0.0000
```

***

x) Material: KYB3
Method: DFT, GGA-PBE
State: relaxed

Results
* spin magnetization: 0.23 μB/atom
* space group: Pm-3m

```
5
Lattice="4.9453 0.0000 0.0000 0.0000 4.9453 0.0000 0.0000 0.0000 4.9453" Properties=species:S:1:pos:R:3 pbc="T T T"
K 0.0000 0.0000 0.0000
Y 2.4726 2.4726 2.4726
B 0.0000 2.4726 2.4726
B 2.4726 0.0000 2.4726
B 2.4726 2.4726 0.0000
```

***

The least stable of them is w).

***

w) Material: KY3B
Method: DFT, GGA-PBE
State: relaxed

Results
* spin magnetization: 0.00 μB/atom
* space group: Pm-3m

```
5
Lattice="5.3101 0.0000 0.0000 0.0000 5.3101 0.0000 0.0000 0.0000 5.3101" Properties=species:S:1:pos:R:3 pbc="T T T"
K 0.0000 0.0000 0.0000
Y 0.0000 2.6551 2.6551
Y 2.6551 0.0000 2.6551
Y 2.6551 2.6551 0.0000
B 2.6551 2.6551 2.6551
```

***

x) Material: KY3B
Method: DFT, GGA-PBE
State: relaxed

Results
* spin magnetization: 0.00 μB/atom
* space group: Pm-3m

```
5
Lattice="5.2541 0.0000 0.0000 0.0000 5.2541 0.0000 0.0000 0.0000 5.2541" Properties=species:S:1:pos:R:3 pbc="T T T"
K 0.0000 0.0000 0.0000
Y 0.0000 0.0000 2.6270
Y 0.0000 2.6270 0.0000
Y 2.6270 0.0000 0.0000
B 2.6270 2.6270 2.6270
```

***

The least stable of them is x).

***

w) Material: K3YB
Method: DFT, GGA-PBE
State: relaxed

Results
* spin magnetization: 1.00 μB/atom
* space group: Pm-3m

```
5
Lattice="7.2443 0.0000 0.0000 0.0000 7.2443 0.0000 0.0000 0.0000 7.2443" Properties=species:S:1:pos:R:3 pbc="T T T"
K 0.0000 0.0000 3.6221
K 0.0000 3.6221 0.0000
K 3.6221 0.0000 0.0000
Y 0.0000 0.0000 0.0000
B 3.6221 3.6221 3.6221
```

***

x) Material: K3YB
Method: DFT, GGA-PBE
State: relaxed

Results
* spin magnetization: 0.00 μB/atom
* space group: Pm-3m

```
5
Lattice="6.0815 0.0000 0.0000 0.0000 6.0815 0.0000 0.0000 0.0000 6.0815" Properties=species:S:1:pos:R:3 pbc="T T T"
K 0.0000 0.0000 3.0408
K 0.0000 3.0408 0.0000
K 3.0408 0.0000 0.0000
Y 3.0408 3.0408 3.0408
B 0.0000 0.0000 0.0000
```

***

The least stable of them is w).

***

w) Material: KZnB3
Method: DFT, GGA-PBE
State: relaxed

Results
* spin magnetization: 0.02 μB/atom
* space group: Pm-3m

```
5
Lattice="5.0078 0.0000 0.0000 0.0000 5.0078 0.0000 0.0000 0.0000 5.0078" Properties=species:S:1:pos:R:3 pbc="T T T"
K 0.0000 0.0000 0.0000
Zn 2.5039 2.5039 2.5039
B 0.0000 0.0000 2.5039
B 0.0000 2.5039 0.0000
B 2.5039 0.0000 0.0000
```

***

x) Material: KZnB3
Method: DFT, GGA-PBE
State: relaxed

Results
* spin magnetization: 0.00 μB/atom
* space group: Pm-3m

```
5
Lattice="4.3039 0.0000 0.0000 0.0000 4.3039 0.0000 0.0000 0.0000 4.3039" Properties=species:S:1:pos:R:3 pbc="T T T"
K 0.0000 0.0000 0.0000
Zn 2.1520 2.1520 2.1520
B 0.0000 2.1520 2.1520
B 2.1520 0.0000 2.1520
B 2.1520 2.1520 0.0000
```

***

The least stable of them is w).

***

w) Material: KZn3B
Method: DFT, GGA-PBE
State: relaxed

Results
* spin magnetization: 0.00 μB/atom
* space group: Pm-3m

```
5
Lattice="4.4926 0.0000 0.0000 0.0000 4.4926 0.0000 0.0000 0.0000 4.4926" Properties=species:S:1:pos:R:3 pbc="T T T"
K 0.0000 0.0000 0.0000
Zn 0.0000 2.2463 2.2463
Zn 2.2463 0.0000 2.2463
Zn 2.2463 2.2463 0.0000
B 2.2463 2.2463 2.2463
```

***

x) Material: KZn3B
Method: DFT, GGA-PBE
State: relaxed

Results
* spin magnetization: 0.37 μB/atom
* space group: Pm-3m

```
5
Lattice="6.3428 0.0000 0.0000 0.0000 6.3428 0.0000 0.0000 0.0000 6.3428" Properties=species:S:1:pos:R:3 pbc="T T T"
K 0.0000 0.0000 0.0000
Zn 0.0000 0.0000 3.1714
Zn 0.0000 3.1714 0.0000
Zn 3.1714 0.0000 0.0000
B 3.1714 3.1714 3.1714
```

***

The least stable of them is x).